Entry 1:
Be5Zn | PBE-GGA | optimized geometry

```
Be5Zn
1.0
2.412 0.000 0.000
0.000 2.412 0.000
0.000 0.000 9.469
Be Zn
5 1
Direct
0.000 0.000 0.698
0.500 0.500 0.848
0.000 0.000 0.000
0.500 0.500 0.152
0.000 0.000 0.302
0.500 0.500 0.500
```

Results
- Theoretical density: 3.3 g/cm3
- Crystal system: tetragonal
- Calculated volume: 9.18 Å³/atom
- Formation enthalpy at 0 K: 160 meV per atom


Entry 2:
LiP3Cl | PBE-GGA | optimized geometry

```
LiP3Cl
1.0
-1.857 0.170 4.300
4.050 -1.514 1.809
1.455 4.433 0.453
P Li Cl
3 1 1
Direct
0.000 0.500 0.000
0.000 0.000 0.500
0.500 0.000 0.000
0.500 0.500 0.500
0.000 0.000 0.000
```

Results
- Theoretical density: 2.2 g/cm3
- Crystal system: cubic
- Relative energy among the computed polymorphs: 112 meV per atom
- Calculated volume: 20.60 Å³/atom
- Formation energy (no corrections): 1.091 eV per atom


Entry 3:
Cd4SiIr | PBE-GGA | optimized geometry

```
Cd4SiIr
1.0
0.000 3.906 3.906
3.906 0.000 3.906
3.906 3.906 0.000
Cd Si Ir
4 1 1
Direct
0.874 0.375 0.375
0.375 0.375 0.874
0.375 0.874 0.375
0.375 0.375 0.375
0.000 0.000 0.000
0.750 0.750 0.750
```

Results
- Theoretical density: 9.3 g/cm3
- Crystal system: cubic
- Calculated volume: 19.86 Å³/atom
- Formation energy (no corrections): 0.555 eV per atom


Entry 4:
Ho12Er7Zr | PBE-GGA | optimized geometry

```
Ho12Er7Zr
1.0
8.415 0.996 1.495
-1.383 8.360 1.495
-1.383 -1.840 8.291
Ho Er Zr
12 7 1
Direct
0.775 0.233 0.632
0.767 0.368 0.225
0.452 0.124 0.355
0.876 0.645 0.548
0.368 0.225 0.767
0.645 0.548 0.876
0.355 0.452 0.124
0.632 0.775 0.233
0.124 0.355 0.452
0.548 0.876 0.645
0.233 0.632 0.775
0.225 0.767 0.368
0.975 0.668 0.071
0.332 0.929 0.025
0.929 0.025 0.332
0.500 0.500 0.500
0.071 0.975 0.668
0.668 0.071 0.975
0.025 0.332 0.929
0.000 0.000 0.000
```

Results
- Theoretical density: 8.5 g/cm3
- Crystal system: trigonal
- Relative energy among the computed polymorphs: 0 meV per atom
- Calculated volume: 31.84 Å³/atom
- Formation enthalpy at 0 K: 267 meV per atom


Entry 5:
NdY2Sb3 | PBE-GGA | optimized geometry

```
NdY2Sb3
1.0
4.247 0.000 -1.286
-0.778 5.676 -2.570
0.007 0.006 7.682
Nd Y Sb
1 2 3
Direct
0.500 0.500 0.500
0.835 0.835 0.169
0.165 0.165 0.831
0.829 0.329 0.158
0.171 0.671 0.842
0.500 0.000 0.500
```

Results
- Theoretical density: 6.2 g/cm3
- Crystal system: orthorhombic
- Calculated volume: 30.89 Å³/atom
- Formation energy (no corrections): -1.168 eV per atom


Entry 6:
CoReAs2Cl | PBE-GGA | optimized geometry

```
CoReAs2Cl
1.0
-2.085 -4.286 0.629
0.369 -0.745 -3.851
4.308 -1.979 0.796
Re As Co Cl
1 2 1 1
Direct
0.500 0.500 0.500
0.000 0.000 0.500
0.500 0.000 0.000
0.000 0.500 0.000
0.000 0.000 0.000
```

Results
- Theoretical density: 7.9 g/cm3
- Crystal system: tetragonal
- Calculated volume: 18.21 Å³/atom
- Formation energy (no corrections): 1.601 eV per atom


How do the records compare in uncorrected energy? In the order shown, they have -3.16 -2.91 -2.44 -4.50 -6.18 -4.54 eV/atom.